DFT (GGA-PBE) results for crystalline La3Zn9Hg2 at its relaxed geometry.

Formation enthalpy at 0 K = -4.596 eV/f.u.
Size of the total moment = 0.00 μB/f.u.

Cell: 8.631 8.631 8.631 Å, 148.98 116.77 72.10°
Fractional coordinates of all 14 atoms:
La 0.000 0.000 0.000
La 0.299 0.299 0.000
La 0.701 0.701 0.000
Zn 0.028 0.665 0.362
Zn 0.130 0.854 0.276
Zn 0.303 0.665 0.638
Zn 0.422 0.146 0.276
Zn 0.500 0.000 0.500
Zn 0.578 0.854 0.724
Zn 0.697 0.335 0.362
Zn 0.870 0.146 0.724
Zn 0.972 0.335 0.638
Hg 0.304 0.500 0.804
Hg 0.696 0.500 0.196